(1)
VASP calculation (GGA-PBE) on crystalline RbLiPu2F8 at its relaxed geometry.

Density = 6.16 g/cm3
DFT total energy = -7.206 eV/atom
Raw formation energy = -39.95 eV per formula unit
Volume = 197 Å³/cell

Cell lengths 4.0833, 6.2288, 7.8422 Å; angles 81.60, 89.97, 89.88 degrees
Last column: nearest neighbours and their distance in Å.
Space group P-1 (No. 2)
One atom of each set of equivalent atoms:
Rb 0.0000 0.0000 0.0000 (multiplicity 1)  8 F 2.73-2.86
Li 0.0000 0.0000 0.5000 (multiplicity 1)  2 F 1.89
Pu 0.4999 0.4587 0.2620 (multiplicity 2)  8 F 2.33-2.55
F 0.0008 0.2119 0.3005 (multiplicity 2)  1 Li 1.89
F 0.0007 0.3587 0.7549 (multiplicity 2)  2 Pu 2.33
F 0.4985 0.7309 0.4582 (multiplicity 2)  2 Pu 2.33-2.45
F 0.4999 0.2915 0.0103 (multiplicity 2)  2 Pu 2.36-2.45, 1 F 2.58

(2)
VASP calculation (GGA-PBE) on crystalline Rb3Li2PuF9 at its relaxed geometry.

Density = 4.48 g/cm3
DFT total energy = -5.571 eV/atom
Raw formation energy = -45.67 eV per formula unit
Volume = 254 Å³/cell

Cell lengths 6.0789, 6.0789, 7.9444 Å; angles 90.00, 90.00, 120.00 degrees
Last column: nearest neighbours and their distance in Å.
Space group P-3m1 (No. 164)
One atom of each set of equivalent atoms:
Rb 0.0000 0.0000 0.0000 (multiplicity 1)  12 F 3.04-3.20
Rb 0.3333 0.6667 0.7196 (multiplicity 2)  9 F 2.84-3.07, 1 Li 3.06
Li 0.3333 0.6667 0.1052 (multiplicity 2)  3 F 1.94
Pu 0.0000 0.0000 0.5000 (multiplicity 1)  6 F 2.15
F 0.0000 0.5000 0.0000 (multiplicity 3)  2 Li 1.94
F 0.1643 0.3285 0.3388 (multiplicity 6)  1 Pu 2.15

(3)
VASP calculation (GGA-PBE) on crystalline Li3PuTl2F12 at its relaxed geometry.

Density = 4.92 g/cm3
DFT total energy = -5.064 eV/atom
Raw formation energy = -43.89 eV per formula unit
Volume = 913 Å³/cell

Cell lengths 6.6077, 6.6077, 24.1557 Å; angles 90.00, 90.00, 120.00 degrees
Last column: nearest neighbours and their distance in Å.
Space group R-3m (No. 166, hexagonal axes)
One atom of each set of equivalent atoms:
Li 0.0000 0.5000 0.0000 (multiplicity 9)  4 F 1.97
Pu 0.0000 0.0000 0.5000 (multiplicity 3)  6 F 2.05
Tl 0.0000 0.0000 0.0697 (multiplicity 6)  3 F 2.31
F 0.0381 0.5191 0.3656 (multiplicity 18)  2 Li 1.97
F 0.0437 0.5218 0.1170 (multiplicity 18)  1 Pu 2.05

(4)
VASP calculation (GGA-PBE) on crystalline LiPuTlF6 at its relaxed geometry.

Density = 5.53 g/cm3
DFT total energy = -6.315 eV/atom
Raw formation energy = -26.99 eV per formula unit
Volume = 342 Å³/cell

Cell lengths 5.6797, 5.6797, 12.2414 Å; angles 90.00, 90.00, 120.00 degrees
Last column: nearest neighbours and their distance in Å.
Space group P-31c (No. 163)
One atom of each set of equivalent atoms:
Li 0.3333 0.6667 0.2500 (multiplicity 2)  6 F 2.11
Pu 0.3333 0.6667 0.7500 (multiplicity 2)  6 F 2.16
Tl 0.0000 0.0000 0.0000 (multiplicity 2)  6 F 2.84
F 0.0065 0.3749 0.1551 (multiplicity 12)  1 Li 2.11, 1 Pu 2.16

(5)
VASP calculation (GGA-PBE) on crystalline Li2PuTl3F9 at its relaxed geometry.

Density = 7.02 g/cm3
DFT total energy = -5.452 eV/atom
Raw formation energy = -39.68 eV per formula unit
Volume = 246 Å³/cell

Cell lengths 6.0484, 6.0484, 7.7746 Å; angles 90.00, 90.00, 120.00 degrees
Last column: nearest neighbours and their distance in Å.
Space group P-3m1 (No. 164)
One atom of each set of equivalent atoms:
Li 0.3333 0.6667 0.1439 (multiplicity 2)  6 F 2.07-2.29
Pu 0.0000 0.0000 0.5000 (multiplicity 1)  6 F 2.16
Tl 0.0000 0.0000 0.0000 (multiplicity 1)  12 F 3.02-3.10
Tl 0.3333 0.6667 0.7446 (multiplicity 2)  3 F 2.64
F 0.0000 0.5000 0.0000 (multiplicity 3)  2 Li 2.07
F 0.1645 0.3291 0.3316 (multiplicity 6)  1 Pu 2.16, 1 Li 2.29

(6)
VASP calculation (GGA-PBE) on crystalline LiPu3Tl2F12 at its relaxed geometry.

Density = 5.66 g/cm3
DFT total energy = -7.027 eV/atom
Raw formation energy = -54.38 eV per formula unit
Volume = 1211 Å³/cell

Cell lengths 8.5004, 8.5004, 19.3580 Å; angles 90.00, 90.00, 120.00 degrees
Last column: nearest neighbours and their distance in Å.
Space group R-3m (No. 166, hexagonal axes)
One atom of each set of equivalent atoms:
Li 0.0000 0.0000 0.0000 (multiplicity 3)  6 F 2.11
Pu 0.0000 0.5000 0.5000 (multiplicity 9)  6 F 2.18-2.34
Tl 0.0000 0.0000 0.3248 (multiplicity 6)  3 F 2.86
F 0.0934 0.5467 0.8754 (multiplicity 18)  2 Pu 2.34
F 0.0939 0.5470 0.6069 (multiplicity 18)  1 Li 2.11, 1 Pu 2.18

(7)
VASP calculation (GGA-PBE) on crystalline LiPuTl2F6 at its relaxed geometry.

Density = 6.95 g/cm3
DFT total energy = -5.932 eV/atom
Raw formation energy = -27.12 eV per formula unit
Volume = 370 Å³/cell

Cell lengths 6.5800, 8.0863, 6.9476 Å; angles 90.00, 90.00, 90.00 degrees
Last column: nearest neighbours and their distance in Å.
Space group Pmmn (No. 59, origin choice 2)
One atom of each set of equivalent atoms:
Li 0.2500 0.2500 0.1771 (multiplicity 2)  4 F 1.92-1.94
Pu 0.2500 0.7500 0.1865 (multiplicity 2)  6 F 2.24-2.33
Tl 0.2500 0.5048 0.6621 (multiplicity 4)  3 F 2.67-2.74
F 0.0034 0.2500 0.0293 (multiplicity 4)  1 Li 1.92
F 0.0074 0.7500 0.4269 (multiplicity 4)  1 Pu 2.31
F 0.2500 0.0266 0.2794 (multiplicity 4)  1 Li 1.94

(8)
VASP calculation (GGA-PBE) on crystalline Li2PuUF8 at its relaxed geometry.

Density = 6.49 g/cm3
DFT total energy = -7.049 eV/atom
Raw formation energy = -40.17 eV per formula unit
Volume = 332 Å³/cell

Cell lengths 5.3791, 5.3791, 11.4592 Å; angles 90.00, 90.00, 90.00 degrees
Last column: nearest neighbours and their distance in Å.
Space group I-4 (No. 82)
One atom of each set of equivalent atoms:
Li 0.0000 0.0000 0.0000 (multiplicity 2)  4 F 1.94
Li 0.0000 0.5000 0.2500 (multiplicity 2)  4 F 1.94
Pu 0.0000 0.5000 0.7500 (multiplicity 2)  8 F 2.42-2.48
U 0.0000 0.0000 0.5000 (multiplicity 2)  8 F 2.35-2.41
F 0.1560 0.7722 0.3340 (multiplicity 8)  1 Li 1.94
F 0.1663 0.2725 0.9218 (multiplicity 8)  1 Li 1.94